Density functional theory data (PBE) for a geometry-optimized Li2Zn3Ag8 structure.

The structure in extended XYZ format:
```
13
Lattice="8.992 0.000 0.000 0.000 2.869 0.000 -4.231 0.000 8.562" Properties=species:S:1:pos:R:3 pbc="T T T"
Li -1.236 0.000 3.211
Li 5.997 0.000 5.352
Zn 2.916 1.434 1.842
Zn 4.496 0.000 0.000
Zn 1.844 1.434 6.720
Ag 0.599 0.000 1.285
Ag -2.182 1.434 7.685
Ag -0.384 0.000 5.878
Ag 1.040 1.434 3.826
Ag 3.721 1.434 4.737
Ag 5.144 0.000 2.684
Ag 6.943 1.434 0.877
Ag 4.162 0.000 7.277
```

Values from the calculation:
The calculated formation energy is -42 meV per atom. The value obtained for the spin magnetization is 0.00 μB/cell. The space group is No. 10. Its uncorrected energy is -31.006 eV per formula unit.